# Ce2PrPt3 | Alexandria via LeMat-Bulk | PBE-GGA | relaxed
data_Ce2PrPt3
_chemical_formula_sum 'Ce8 Pr4 Pt12'
_cell_length_a 13.8063
_cell_length_b 13.1628
_cell_length_c 7.2193
_cell_angle_alpha 79.46
_cell_angle_beta 69.60
_cell_angle_gamma 30.94
_space_group_name_H-M_alt 'P 1'
_space_group_IT_number 1
loop_
_space_group_symop_operation_xyz
'x,y,z'
loop_
_atom_site_label
_atom_site_type_symbol
_atom_site_fract_x
_atom_site_fract_y
_atom_site_fract_z
Ce1 Ce 0.0410 0.0410 0.2090
Ce2 Ce 0.1260 0.1260 0.6240
Ce3 Ce 0.2090 0.2090 0.0410
Ce4 Ce 0.3760 0.3760 0.8740
Ce5 Ce 0.6240 0.6240 0.1260
Ce6 Ce 0.7910 0.7910 0.9590
Ce7 Ce 0.8740 0.8740 0.3760
Ce8 Ce 0.9590 0.9590 0.7910
Pr1 Pr 0.2918 0.2918 0.4582
Pr2 Pr 0.4582 0.4582 0.2918
Pr3 Pr 0.5418 0.5418 0.7082
Pr4 Pr 0.7082 0.7082 0.5418
Pt1 Pt 0.0439 0.5432 0.1964
Pt2 Pt 0.1148 0.6352 0.6352
Pt3 Pt 0.1964 0.7166 0.0439
Pt4 Pt 0.2834 0.8036 0.4568
Pt5 Pt 0.3648 0.8852 0.8852
Pt6 Pt 0.4568 0.9561 0.2834
Pt7 Pt 0.5432 0.0439 0.7166
Pt8 Pt 0.6352 0.1148 0.1148
Pt9 Pt 0.7166 0.1964 0.5432
Pt10 Pt 0.8036 0.2834 0.9561
Pt11 Pt 0.8852 0.3648 0.3648
Pt12 Pt 0.9561 0.4568 0.8036
# Fermi-level density of states: 1.647 states/eV/atom
# final energy: -6.85 eV/atom
# symmetry: Fddd, No. 70
# crystal system: orthorhombic
# magnetic moment: 3.58 μB/cell
# ΔH_f (0 K): -1050 meV per atom

***

# TeMo3Os | Alexandria via LeMat-Bulk | PBE-GGA | relaxed
data_TeMo3Os
_chemical_formula_sum 'Te1 Mo3 Os1'
_cell_length_a 4.8010
_cell_length_b 4.8010
_cell_length_c 4.8010
_cell_angle_alpha 90.00
_cell_angle_beta 90.00
_cell_angle_gamma 90.00
_space_group_name_H-M_alt 'P 1'
_space_group_IT_number 1
loop_
_space_group_symop_operation_xyz
'x,y,z'
loop_
_atom_site_label
_atom_site_type_symbol
_atom_site_fract_x
_atom_site_fract_y
_atom_site_fract_z
Te1 Te 0.0000 0.0000 0.0000
Mo1 Mo 0.0000 0.5000 0.5000
Mo2 Mo 0.5000 0.0000 0.5000
Mo3 Mo 0.5000 0.5000 0.0000
Os1 Os 0.5000 0.5000 0.5000
# Fermi-level density of states: 1.316 states/eV/atom
# final energy: -7.86 eV/atom
# relative energy among the computed polymorphs: 0.0 meV/atom
# symmetry: Pm-3m, No. 221
# crystal system: cubic
# magnetic moment: 1.58 μB/cell
# E_form (uncorrected): 730 kJ/mol of formula units

***

# Ce5SiTc2 | Alexandria via LeMat-Bulk | PBE-GGA | relaxed
data_Ce5SiTc2
_chemical_formula_sum 'Ce10 Si2 Tc4'
_cell_length_a 8.3018
_cell_length_b 8.3018
_cell_length_c 8.3018
_cell_angle_alpha 124.66
_cell_angle_beta 124.66
_cell_angle_gamma 82.10
_space_group_name_H-M_alt 'P 1'
_space_group_IT_number 1
loop_
_space_group_symop_operation_xyz
'x,y,z'
loop_
_atom_site_label
_atom_site_type_symbol
_atom_site_fract_x
_atom_site_fract_y
_atom_site_fract_z
Ce1 Ce 0.0000 0.0000 0.0000
Ce2 Ce 0.0181 0.5181 0.8277
Ce3 Ce 0.1903 0.0181 0.5000
Ce4 Ce 0.3097 0.8097 0.8277
Ce5 Ce 0.4819 0.3097 0.5000
Ce6 Ce 0.5000 0.5000 0.0000
Ce7 Ce 0.5181 0.6903 0.5000
Ce8 Ce 0.6903 0.1903 0.1723
Ce9 Ce 0.8097 0.9819 0.5000
Ce10 Ce 0.9819 0.4819 0.1723
Si1 Si 0.2500 0.2500 0.0000
Si2 Si 0.7500 0.7500 0.0000
Tc1 Tc 0.1386 0.3614 0.5000
Tc2 Tc 0.3614 0.8614 0.2228
Tc3 Tc 0.6386 0.1386 0.7772
Tc4 Tc 0.8614 0.6386 0.5000
# Fermi-level density of states: 2.076 states/eV/atom
# final energy: -7.23 eV/atom
# symmetry: I4/mcm, No. 140
# crystal system: tetragonal
# magnetic moment: 1.22 μB/cell
# E_form (uncorrected): -193 kJ/mol of formula units

***

# Tl2Cu2F7 | Alexandria via LeMat-Bulk | PBE-GGA | relaxed
data_Tl2Cu2F7
_chemical_formula_sum 'Tl2 Cu2 F7'
_cell_length_a 7.3173
_cell_length_b 7.3173
_cell_length_c 4.0080
_cell_angle_alpha 98.04
_cell_angle_beta 98.04
_cell_angle_gamma 123.83
_space_group_name_H-M_alt 'P 1'
_space_group_IT_number 1
loop_
_space_group_symop_operation_xyz
'x,y,z'
loop_
_atom_site_label
_atom_site_type_symbol
_atom_site_fract_x
_atom_site_fract_y
_atom_site_fract_z
Tl1 Tl 0.1929 0.8071 0.0000
Tl2 Tl 0.8071 0.1929 0.0000
Cu1 Cu 0.3065 0.3065 0.6570
Cu2 Cu 0.6935 0.6935 0.3430
F1 F 0.0000 0.0000 0.5000
F2 F 0.1512 0.4437 0.6596
F3 F 0.3581 0.3581 0.1841
F4 F 0.4437 0.1512 0.6596
F5 F 0.5563 0.8488 0.3404
F6 F 0.6419 0.6419 0.8159
F7 F 0.8488 0.5563 0.3404
# Fermi-level density of states: 0.563 states/eV/atom
# final energy: -3.97 eV/atom
# relative energy among the computed polymorphs: 0.0 meV/atom
# symmetry: C2/m, No. 12
# crystal system: monoclinic
# magnetic moment: 2.42 μB/cell
# E_form (uncorrected): -1704 kJ/mol of formula units

***

# Sr7Sn2N2 | Alexandria via LeMat-Bulk | PBE-GGA | relaxed
data_Sr7Sn2N2
_chemical_formula_sum 'Sr7 Sn2 N2'
_cell_length_a 7.1204
_cell_length_b 7.1204
_cell_length_c 7.1703
_cell_angle_alpha 90.03
_cell_angle_beta 90.03
_cell_angle_gamma 69.84
_space_group_name_H-M_alt 'P 1'
_space_group_IT_number 1
loop_
_space_group_symop_operation_xyz
'x,y,z'
loop_
_atom_site_label
_atom_site_type_symbol
_atom_site_fract_x
_atom_site_fract_y
_atom_site_fract_z
Sr1 Sr 0.0000 0.0000 0.0000
Sr2 Sr 0.9996 0.5001 0.2313
Sr3 Sr 0.0004 0.4999 0.7687
Sr4 Sr 0.5001 0.9996 0.2313
Sr5 Sr 0.4999 0.0004 0.7687
Sr6 Sr 0.4996 0.4996 0.2167
Sr7 Sr 0.5004 0.5004 0.7833
Sn1 Sn 0.1792 0.8208 0.5000
Sn2 Sn 0.8208 0.1792 0.5000
N1 N 0.3063 0.3063 0.0001
N2 N 0.6937 0.6937 0.9999
# Fermi-level density of states: 0.421 states/eV/atom
# final energy: -3.70 eV/atom
# symmetry: C2/m, No. 12
# crystal system: monoclinic
# magnetic moment: 0.68 μB/cell
# E_form (uncorrected): -416 kJ/mol of formula units

***

# BeGa3Rh | Alexandria via LeMat-Bulk | PBE-GGA | relaxed
data_BeGa3Rh
_chemical_formula_sum 'Be1 Ga3 Rh1'
_cell_length_a 4.3035
_cell_length_b 4.3035
_cell_length_c 4.3035
_cell_angle_alpha 90.00
_cell_angle_beta 90.00
_cell_angle_gamma 90.00
_space_group_name_H-M_alt 'P 1'
_space_group_IT_number 1
loop_
_space_group_symop_operation_xyz
'x,y,z'
loop_
_atom_site_label
_atom_site_type_symbol
_atom_site_fract_x
_atom_site_fract_y
_atom_site_fract_z
Be1 Be 0.0000 0.0000 0.0000
Ga1 Ga 0.0000 0.0000 0.5000
Ga2 Ga 0.0000 0.5000 0.0000
Ga3 Ga 0.5000 0.0000 0.0000
Rh1 Rh 0.5000 0.5000 0.5000
# Fermi-level density of states: 0.305 states/eV/atom
# final energy: -3.62 eV/atom
# relative energy among the computed polymorphs: 96.6 meV/atom
# symmetry: Pm-3m, No. 221
# crystal system: cubic
# magnetic moment: 0.00 μB/cell
# ΔH_f (0 K): 409 meV per atom

***

# Ca2Cu2Rh | Alexandria via LeMat-Bulk | PBE-GGA | relaxed
data_Ca2Cu2Rh
_chemical_formula_sum 'Ca4 Cu4 Rh2'
_cell_length_a 4.5000
_cell_length_b 5.0355
_cell_length_c 8.8541
_cell_angle_alpha 90.00
_cell_angle_beta 90.00
_cell_angle_gamma 90.00
_space_group_name_H-M_alt 'P 1'
_space_group_IT_number 1
loop_
_space_group_symop_operation_xyz
'x,y,z'
loop_
_atom_site_label
_atom_site_type_symbol
_atom_site_fract_x
_atom_site_fract_y
_atom_site_fract_z
Ca1 Ca 0.0000 0.0000 0.1925
Ca2 Ca 0.0000 0.0000 0.8075
Ca3 Ca 0.5000 0.5000 0.3075
Ca4 Ca 0.5000 0.5000 0.6925
Cu1 Cu 0.0000 0.2514 0.5000
Cu2 Cu 0.0000 0.7486 0.5000
Cu3 Cu 0.5000 0.2486 0.0000
Cu4 Cu 0.5000 0.7514 0.0000
Rh1 Rh 0.0000 0.5000 0.0000
Rh2 Rh 0.5000 0.0000 0.5000
# Fermi-level density of states: 0.434 states/eV/atom
# final energy: -4.18 eV/atom
# relative energy among the computed polymorphs: 0.0 meV/atom
# symmetry: Immm, No. 71
# crystal system: orthorhombic
# magnetic moment: 0.00 μB/cell
# ΔH_f (0 K): -268 meV per atom

***

# Sb3Se5S12 | Alexandria via LeMat-Bulk | PBE-GGA | relaxed
data_Sb3Se5S12
_chemical_formula_sum 'Sb12 Se20 S48'
_cell_length_a 13.6431
_cell_length_b 13.6431
_cell_length_c 13.6431
_cell_angle_alpha 109.47
_cell_angle_beta 109.47
_cell_angle_gamma 109.47
_space_group_name_H-M_alt 'P 1'
_space_group_IT_number 1
loop_
_space_group_symop_operation_xyz
'x,y,z'
loop_
_atom_site_label
_atom_site_type_symbol
_atom_site_fract_x
_atom_site_fract_y
_atom_site_fract_z
Sb1 Sb 0.1250 0.2500 0.3750
Sb2 Sb 0.1250 0.3750 0.7500
Sb3 Sb 0.2500 0.3750 0.1250
Sb4 Sb 0.2500 0.8750 0.6250
Sb5 Sb 0.3750 0.1250 0.2500
Sb6 Sb 0.3750 0.7500 0.1250
Sb7 Sb 0.6250 0.2500 0.8750
Sb8 Sb 0.6250 0.8750 0.7500
Sb9 Sb 0.7500 0.1250 0.3750
Sb10 Sb 0.7500 0.6250 0.8750
Sb11 Sb 0.8750 0.6250 0.2500
Sb12 Sb 0.8750 0.7500 0.6250
Se1 Se 0.0000 0.0000 0.0000
Se2 Se 0.0000 0.0000 0.5000
Se3 Se 0.0000 0.5000 0.0000
Se4 Se 0.0000 0.5000 0.5000
Se5 Se 0.1250 0.7500 0.8750
Se6 Se 0.1250 0.8750 0.2500
Se7 Se 0.2500 0.1250 0.8750
Se8 Se 0.2500 0.6250 0.3750
Se9 Se 0.3750 0.2500 0.6250
Se10 Se 0.3750 0.6250 0.7500
Se11 Se 0.5000 0.0000 0.0000
Se12 Se 0.5000 0.0000 0.5000
Se13 Se 0.5000 0.5000 0.0000
Se14 Se 0.5000 0.5000 0.5000
Se15 Se 0.6250 0.3750 0.2500
Se16 Se 0.6250 0.7500 0.3750
Se17 Se 0.7500 0.3750 0.6250
Se18 Se 0.7500 0.8750 0.1250
Se19 Se 0.8750 0.1250 0.7500
Se20 Se 0.8750 0.2500 0.1250
S1 S 0.0442 0.2149 0.1336
S2 S 0.0442 0.3294 0.9106
S3 S 0.0812 0.7149 0.6706
S4 S 0.0812 0.8664 0.4106
S5 S 0.0894 0.6336 0.4188
S6 S 0.0894 0.9558 0.6706
S7 S 0.1336 0.0442 0.2149
S8 S 0.1336 0.5894 0.9188
S9 S 0.1706 0.2149 0.5812
S10 S 0.1706 0.4558 0.5894
S11 S 0.2149 0.1336 0.0442
S12 S 0.2149 0.5812 0.1706
S13 S 0.2851 0.3294 0.9188
S14 S 0.2851 0.4558 0.3664
S15 S 0.3294 0.9106 0.0442
S16 S 0.3294 0.9188 0.2851
S17 S 0.3664 0.2851 0.4558
S18 S 0.3664 0.5812 0.9106
S19 S 0.4106 0.0812 0.8664
S20 S 0.4106 0.8294 0.5442
S21 S 0.4188 0.0894 0.6336
S22 S 0.4188 0.8294 0.7851
S23 S 0.4558 0.3664 0.2851
S24 S 0.4558 0.5894 0.1706
S25 S 0.5442 0.4106 0.8294
S26 S 0.5442 0.6336 0.7149
S27 S 0.5812 0.1706 0.2149
S28 S 0.5812 0.9106 0.3664
S29 S 0.5894 0.1706 0.4558
S30 S 0.5894 0.9188 0.1336
S31 S 0.6336 0.4188 0.0894
S32 S 0.6336 0.7149 0.5442
S33 S 0.6706 0.0812 0.7149
S34 S 0.6706 0.0894 0.9558
S35 S 0.7149 0.5442 0.6336
S36 S 0.7149 0.6706 0.0812
S37 S 0.7851 0.4188 0.8294
S38 S 0.7851 0.8664 0.9558
S39 S 0.8294 0.5442 0.4106
S40 S 0.8294 0.7851 0.4188
S41 S 0.8664 0.4106 0.0812
S42 S 0.8664 0.9558 0.7851
S43 S 0.9106 0.0442 0.3294
S44 S 0.9106 0.3664 0.5812
S45 S 0.9188 0.1336 0.5894
S46 S 0.9188 0.2851 0.3294
S47 S 0.9558 0.6706 0.0894
S48 S 0.9558 0.7851 0.8664
# Fermi-level density of states: 0.510 states/eV/atom
# final energy: -3.61 eV/atom
# symmetry: Ia-3d, No. 230
# crystal system: cubic
# magnetic moment: 0.00 μB/cell
# E_form (uncorrected): 685 kJ/mol of formula units

***

# TlSn4Pb2 | Alexandria via LeMat-Bulk | PBE-GGA | relaxed
data_TlSn4Pb2
_chemical_formula_sum 'Tl2 Sn8 Pb4'
_cell_length_a 4.3342
_cell_length_b 4.3342
_cell_length_c 22.7240
_cell_angle_alpha 90.00
_cell_angle_beta 90.00
_cell_angle_gamma 90.00
_space_group_name_H-M_alt 'P 1'
_space_group_IT_number 1
loop_
_space_group_symop_operation_xyz
'x,y,z'
loop_
_atom_site_label
_atom_site_type_symbol
_atom_site_fract_x
_atom_site_fract_y
_atom_site_fract_z
Tl1 Tl 0.0000 0.0000 0.0000
Tl2 Tl 0.5000 0.5000 0.5000
Sn1 Sn 0.0000 0.0000 0.1424
Sn2 Sn 0.0000 0.0000 0.8576
Sn3 Sn 0.0000 0.5000 0.2500
Sn4 Sn 0.0000 0.5000 0.7500
Sn5 Sn 0.5000 0.0000 0.2500
Sn6 Sn 0.5000 0.0000 0.7500
Sn7 Sn 0.5000 0.5000 0.3576
Sn8 Sn 0.5000 0.5000 0.6424
Pb1 Pb 0.0000 0.0000 0.4239
Pb2 Pb 0.0000 0.0000 0.5761
Pb3 Pb 0.5000 0.5000 0.0761
Pb4 Pb 0.5000 0.5000 0.9239
# Fermi-level density of states: 0.560 states/eV/atom
# final energy: -3.59 eV/atom
# relative energy among the computed polymorphs: 46.1 meV/atom
# symmetry: I4/mmm, No. 139
# crystal system: tetragonal
# magnetic moment: 0.00 μB/cell
# ΔH_f (0 K): 100 meV per atom

***

# Zr4BeTc | Alexandria via LeMat-Bulk | PBE-GGA | relaxed
data_Zr4BeTc
_chemical_formula_sum 'Zr4 Be1 Tc1'
_cell_length_a 5.5697
_cell_length_b 5.5697
_cell_length_c 5.5697
_cell_angle_alpha 60.00
_cell_angle_beta 60.00
_cell_angle_gamma 60.00
_space_group_name_H-M_alt 'P 1'
_space_group_IT_number 1
loop_
_space_group_symop_operation_xyz
'x,y,z'
loop_
_atom_site_label
_atom_site_type_symbol
_atom_site_fract_x
_atom_site_fract_y
_atom_site_fract_z
Zr1 Zr 0.3767 0.3767 0.3767
Zr2 Zr 0.3767 0.3767 0.8700
Zr3 Zr 0.3767 0.8700 0.3767
Zr4 Zr 0.8700 0.3767 0.3767
Be1 Be 0.0000 0.0000 0.0000
Tc1 Tc 0.7500 0.7500 0.7500
# Fermi-level density of states: 1.164 states/eV/atom
# final energy: -7.30 eV/atom
# symmetry: F-43m, No. 216
# crystal system: cubic
# magnetic moment: 0.00 μB/cell
# ΔH_f (0 K): 752 meV per atom

***

# ScRh3Cl | Alexandria via LeMat-Bulk | PBE-GGA | relaxed
data_ScRh3Cl
_chemical_formula_sum 'Sc1 Rh3 Cl1'
_cell_length_a 4.4287
_cell_length_b 4.4287
_cell_length_c 4.4287
_cell_angle_alpha 90.00
_cell_angle_beta 90.00
_cell_angle_gamma 90.00
_space_group_name_H-M_alt 'P 1'
_space_group_IT_number 1
loop_
_space_group_symop_operation_xyz
'x,y,z'
loop_
_atom_site_label
_atom_site_type_symbol
_atom_site_fract_x
_atom_site_fract_y
_atom_site_fract_z
Sc1 Sc 0.0000 0.0000 0.0000
Rh1 Rh 0.0000 0.5000 0.5000
Rh2 Rh 0.5000 0.0000 0.5000
Rh3 Rh 0.5000 0.5000 0.0000
Cl1 Cl 0.5000 0.5000 0.5000
# Fermi-level density of states: 0.687 states/eV/atom
# final energy: -5.86 eV/atom
# relative energy among the computed polymorphs: 0.0 meV/atom
# symmetry: Pm-3m, No. 221
# crystal system: cubic
# magnetic moment: 0.00 μB/cell
# E_form (uncorrected): 90 kJ/mol of formula units

***

# Th4BiRhSe2 | Alexandria via LeMat-Bulk | PBE-GGA | relaxed
data_Th4BiRhSe2
_chemical_formula_sum 'Th4 Bi1 Rh1 Se2'
_cell_length_a 7.4478
_cell_length_b 4.1662
_cell_length_c 7.7802
_cell_angle_alpha 90.00
_cell_angle_beta 108.24
_cell_angle_gamma 90.00
_space_group_name_H-M_alt 'P 1'
_space_group_IT_number 1
loop_
_space_group_symop_operation_xyz
'x,y,z'
loop_
_atom_site_label
_atom_site_type_symbol
_atom_site_fract_x
_atom_site_fract_y
_atom_site_fract_z
Th1 Th 0.2282 0.0000 0.2165
Th2 Th 0.2637 0.5000 0.7740
Th3 Th 0.7363 0.5000 0.2260
Th4 Th 0.7718 0.0000 0.7835
Bi1 Bi 0.0000 0.0000 0.5000
Rh1 Rh 0.0000 0.5000 0.0000
Se1 Se 0.5000 0.0000 0.0000
Se2 Se 0.5000 0.5000 0.5000
# Fermi-level density of states: 0.678 states/eV/atom
# final energy: -7.07 eV/atom
# symmetry: P2/m, No. 10
# crystal system: monoclinic
# magnetic moment: 0.00 μB/cell
# E_form (uncorrected): -836 kJ/mol of formula units